A relaxed structure of Pm12Sm6Ho. Source: Alexandria, functional PBE-GGA.

## Properties
excess energy over the best structure of this formula in the dataset: 11 meV/atom
energy: -87.35 eV per formula unit
spin magnetization: 0.0 μB per formula unit
calculated density: 7.09 g cm⁻³
calculated formation energy: 0.1344 eV/atom

Cell lengths 8.696, 8.696, 8.696 Å; angles 89.14, 89.14, 89.14 degrees
Fractional positions:
Pm 0.017 0.195 0.360
Pm 0.195 0.360 0.017
Pm 0.221 0.463 0.565
Pm 0.360 0.017 0.195
Pm 0.435 0.779 0.537
Pm 0.463 0.565 0.221
Pm 0.537 0.435 0.779
Pm 0.565 0.221 0.463
Pm 0.640 0.983 0.805
Pm 0.779 0.537 0.435
Pm 0.805 0.640 0.983
Pm 0.983 0.805 0.640
Sm 0.095 0.699 0.261
Sm 0.261 0.095 0.699
Sm 0.301 0.739 0.905
Sm 0.699 0.261 0.095
Sm 0.739 0.905 0.301
Sm 0.905 0.301 0.739
Ho 0.000 0.000 0.000

A relaxed structure of GaNi2As. Source: Alexandria, functional PBE-GGA.

## Properties
excess energy over the best structure of this formula in the dataset: 190 meV/atom
energy: -19.85 eV per formula unit
spin magnetization: 0.0 μB per formula unit
calculated density: 7.53 g cm⁻³
calculated formation energy: -0.1523 eV/atom

Cell lengths 5.146, 5.146, 5.146 Å; angles 43.14, 43.14, 43.14 degrees
Fractional positions:
Ga 0.000 0.000 0.000
Ni 0.579 0.579 0.579
Ni 0.770 0.770 0.770
As 0.183 0.183 0.183

A relaxed structure of NaSb2HPt. Source: Alexandria, functional PBE-GGA.

## Properties
energy: -18.90 eV per formula unit
spin magnetization: 0.0 μB per formula unit
calculated density: 8.17 g cm⁻³

Cell lengths 5.105, 5.105, 3.609 Å; angles 90.00, 90.00, 90.00 degrees
Fractional positions:
Na 0.000 0.000 0.000
Sb 0.000 0.500 0.500
Sb 0.500 0.000 0.500
H 0.500 0.500 0.500
Pt 0.500 0.500 0.000

A relaxed structure of BaIBr3. Source: Alexandria, functional PBE-GGA.

## Properties
excess energy over the best structure of this formula in the dataset: 426 meV/atom
uncorrected formation energy: -0.87 eV per atom
energy: -12.84 eV per formula unit
spin magnetization: 2.0 μB per formula unit
calculated density: 3.25 g cm⁻³

Cell lengths 6.360, 6.360, 6.360 Å; angles 90.00, 90.00, 90.00 degrees
Fractional positions:
Ba 0.000 0.000 0.000
I 0.500 0.500 0.500
Br 0.000 0.000 0.500
Br 0.000 0.500 0.000
Br 0.500 0.000 0.000

A relaxed structure of SmZn2GaCu4. Source: Alexandria, functional PBE-GGA.

## Properties
energy: -27.86 eV per formula unit
spin magnetization: 0.0 μB per formula unit
calculated density: 7.82 g cm⁻³
calculated formation energy: -0.1472 eV/atom

Cell lengths 8.768, 8.768, 8.768 Å; angles 27.70, 27.70, 27.70 degrees
Fractional positions:
Sm 0.000 0.000 0.000
Zn 0.244 0.244 0.244
Zn 0.756 0.756 0.756
Ga 0.500 0.500 0.500
Cu 0.131 0.131 0.131
Cu 0.404 0.404 0.404
Cu 0.596 0.596 0.596
Cu 0.869 0.869 0.869

A relaxed structure of CrTc2Ru. Source: Alexandria, functional PBE-GGA.

## Properties
excess energy over the best structure of this formula in the dataset: 72 meV/atom
energy: -38.92 eV per formula unit
spin magnetization: 0.0 μB per formula unit
calculated density: 10.43 g cm⁻³
calculated formation energy: 0.1781 eV/atom

Cell lengths 5.095, 5.095, 5.095 Å; angles 146.51, 129.69, 61.79 degrees
Fractional positions:
Cr 0.000 0.000 0.000
Tc 0.218 0.718 0.500
Tc 0.489 0.489 0.000
Ru 0.769 0.269 0.500

A relaxed structure of Dy3MnCo8. Source: Alexandria, functional PBE-GGA.

## Properties
energy: -81.56 eV per formula unit
spin magnetization: 13.2 μB per formula unit
calculated density: 9.58 g cm⁻³
calculated formation energy: -0.1447 eV/atom

Cell lengths 8.657, 8.657, 8.657 Å; angles 33.47, 33.47, 33.47 degrees
Fractional positions:
Dy 0.000 0.000 0.000
Dy 0.128 0.128 0.128
Dy 0.510 0.510 0.510
Mn 0.631 0.631 0.631
Co 0.059 0.566 0.566
Co 0.068 0.068 0.569
Co 0.068 0.569 0.068
Co 0.316 0.316 0.316
Co 0.566 0.059 0.566
Co 0.566 0.566 0.059
Co 0.569 0.068 0.068
Co 0.816 0.816 0.816

A relaxed structure of SrGeB2. Source: Alexandria, functional PBE-GGA.

## Properties
energy: -17.78 eV per formula unit
spin magnetization: 0.0 μB per formula unit
calculated density: 4.39 g cm⁻³
calculated formation energy: 0.4695 eV/atom

Cell lengths 7.735, 7.735, 7.735 Å; angles 146.87, 146.87, 47.56 degrees
Fractional positions:
Sr 0.375 0.625 0.750
Sr 0.625 0.375 0.250
Ge 0.125 0.875 0.250
Ge 0.875 0.125 0.750
B 0.000 0.000 0.000
B 0.000 0.000 0.500
B 0.000 0.500 0.000
B 0.500 0.000 0.500

A relaxed structure of CaYSc2C. Source: Alexandria, functional PBE-GGA.

## Properties
energy: -30.54 eV per formula unit
spin magnetization: 0.0 μB per formula unit
calculated density: 3.29 g cm⁻³
calculated formation energy: -0.0377 eV/atom

Cell lengths 4.738, 4.738, 5.187 Å; angles 90.00, 90.00, 90.00 degrees
Fractional positions:
Ca 0.000 0.000 0.000
Y 0.500 0.500 0.000
Sc 0.000 0.500 0.500
Sc 0.500 0.000 0.500
C 0.500 0.500 0.500

A relaxed structure of Ac2Pm3Tm4. Source: Alexandria, functional PBE-GGA.

## Properties
energy: -39.18 eV per formula unit
spin magnetization: 0.0 μB per formula unit
calculated density: 7.99 g cm⁻³
calculated formation energy: 0.1307 eV/atom

Cell lengths 7.251, 15.821, 5.669 Å; angles 90.00, 90.00, 90.00 degrees
Fractional positions:
Ac 0.164 0.096 0.000
Ac 0.336 0.596 0.500
Ac 0.664 0.404 0.500
Ac 0.836 0.904 0.000
Pm 0.000 0.500 0.000
Pm 0.108 0.828 0.500
Pm 0.392 0.328 0.000
Pm 0.500 0.000 0.500
Pm 0.608 0.672 0.000
Pm 0.892 0.172 0.500
Tm 0.093 0.706 0.000
Tm 0.134 0.377 0.500
Tm 0.366 0.877 0.000
Tm 0.407 0.206 0.500
Tm 0.593 0.794 0.500
Tm 0.634 0.123 0.000
Tm 0.866 0.623 0.500
Tm 0.907 0.294 0.000

A relaxed structure of SrPmBi2. Source: Alexandria, functional PBE-GGA.

## Properties
excess energy over the best structure of this formula in the dataset: 116 meV/atom
energy: -16.92 eV per formula unit
spin magnetization: 0.0 μB per formula unit
calculated density: 8.11 g cm⁻³
calculated formation energy: -0.6812 eV/atom

Cell lengths 5.593, 5.593, 4.257 Å; angles 90.00, 90.00, 90.00 degrees
Fractional positions:
Sr 0.000 0.000 0.000
Pm 0.500 0.500 0.000
Bi 0.000 0.500 0.500
Bi 0.500 0.000 0.500

A relaxed structure of Mg2Cu2Sn. Source: Alexandria, functional PBE-GGA.

## Properties
energy: -15.87 eV per formula unit
spin magnetization: 0.0 μB per formula unit
calculated density: 5.38 g cm⁻³
calculated formation energy: -0.0980 eV/atom

Cell lengths 5.428, 5.428, 7.520 Å; angles 103.56, 103.56, 58.35 degrees
Fractional positions:
Mg 0.015 0.307 0.151
Mg 0.307 0.015 0.651
Mg 0.693 0.985 0.349
Mg 0.985 0.693 0.849
Cu 0.224 0.507 0.512
Cu 0.493 0.776 0.988
Cu 0.507 0.224 0.012
Cu 0.776 0.493 0.488
Sn 0.291 0.709 0.250
Sn 0.709 0.291 0.750

A relaxed structure of PrNdTmTl. Source: Alexandria, functional PBE-GGA.

## Properties
excess energy over the best structure of this formula in the dataset: 115 meV/atom
energy: -16.68 eV per formula unit
spin magnetization: 0.8 μB per formula unit
calculated density: 8.87 g cm⁻³
calculated formation energy: -0.0747 eV/atom

Cell lengths 5.586, 5.586, 5.586 Å; angles 60.00, 60.00, 60.00 degrees
Fractional positions:
Pr 0.000 0.000 0.000
Nd 0.500 0.500 0.500
Tm 0.750 0.750 0.750
Tl 0.250 0.250 0.250

A relaxed structure of BaAg2W. Source: Alexandria, functional PBE-GGA.

## Properties
excess energy over the best structure of this formula in the dataset: 24 meV/atom
energy: -17.52 eV per formula unit
spin magnetization: 0.0 μB per formula unit
calculated density: 10.16 g cm⁻³
calculated formation energy: 0.7653 eV/atom

Cell lengths 3.020, 3.020, 9.627 Å; angles 90.00, 90.00, 90.00 degrees
Fractional positions:
Ba 0.000 0.000 0.000
Ag 0.000 0.000 0.491
Ag 0.500 0.500 0.700
W 0.500 0.500 0.287

A relaxed structure of Sm8Si3SI4. Source: Alexandria, functional PBE-GGA.

## Properties
uncorrected formation energy: -1.08 eV per atom
energy: -81.63 eV per formula unit
spin magnetization: 0.0 μB per formula unit
calculated density: 6.42 g cm⁻³

Cell lengths 9.043, 9.043, 9.043 Å; angles 55.86, 55.86, 55.86 degrees
Fractional positions:
Sm 0.231 0.730 0.730
Sm 0.232 0.232 0.232
Sm 0.270 0.270 0.769
Sm 0.270 0.769 0.270
Sm 0.730 0.231 0.730
Sm 0.730 0.730 0.231
Sm 0.768 0.768 0.768
Sm 0.769 0.270 0.270
Si 0.000 0.000 0.500
Si 0.000 0.500 0.000
Si 0.500 0.000 0.000
S 0.500 0.500 0.500
I 0.000 0.000 0.000
I 0.000 0.500 0.500
I 0.500 0.000 0.500
I 0.500 0.500 0.000

A relaxed structure of Sr4Cd2Hg. Source: Alexandria, functional PBE-GGA.

## Properties
energy: -10.88 eV per formula unit
spin magnetization: 0.0 μB per formula unit
calculated density: 4.90 g cm⁻³
calculated formation energy: -0.2884 eV/atom

Cell lengths 6.992, 6.992, 6.992 Å; angles 109.17, 109.17, 110.09 degrees
Fractional positions:
Sr 0.000 0.000 0.500
Sr 0.000 0.500 0.000
Sr 0.500 0.000 0.000
Sr 0.500 0.500 0.500
Cd 0.000 0.500 0.500
Cd 0.500 0.000 0.500
Hg 0.000 0.000 0.000

A relaxed structure of CeLuSnPb. Source: Alexandria, functional PBE-GGA.

## Properties
energy: -19.80 eV per formula unit
spin magnetization: 1.6 μB per formula unit
calculated density: 9.51 g cm⁻³
calculated formation energy: -0.4078 eV/atom

Cell lengths 5.409, 5.409, 5.409 Å; angles 60.00, 60.00, 60.00 degrees
Fractional positions:
Ce 0.000 0.000 0.000
Lu 0.500 0.500 0.500
Sn 0.250 0.250 0.250
Pb 0.750 0.750 0.750

A relaxed structure of Np2Be3Si4Ir. Source: Alexandria, functional PBE-GGA.

## Properties
uncorrected formation energy: -0.32 eV per atom
energy: -70.86 eV per formula unit
spin magnetization: 7.7 μB per formula unit
calculated density: 9.07 g cm⁻³

Cell lengths 3.898, 3.898, 9.703 Å; angles 90.00, 90.00, 90.00 degrees
Fractional positions:
Np 0.000 0.500 0.238
Np 0.500 0.000 0.762
Be 0.000 0.500 0.872
Be 0.500 0.000 0.128
Be 0.500 0.500 0.500
Si 0.000 0.000 0.000
Si 0.000 0.500 0.642
Si 0.500 0.000 0.358
Si 0.500 0.500 0.000
Ir 0.000 0.000 0.500

A relaxed structure of CsSr3Re. Source: Alexandria, functional PBE-GGA.

## Properties
energy: -7.16 eV per formula unit
spin magnetization: 0.0 μB per formula unit
calculated density: 4.71 g cm⁻³
calculated formation energy: 2.2381 eV/atom

Cell lengths 5.900, 5.900, 5.900 Å; angles 90.00, 90.00, 90.00 degrees
Fractional positions:
Cs 0.000 0.000 0.000
Sr 0.000 0.000 0.500
Sr 0.000 0.500 0.000
Sr 0.500 0.000 0.000
Re 0.500 0.500 0.500

A relaxed structure of La3Th. Source: Alexandria, functional PBE-GGA.

## Properties
excess energy over the best structure of this formula in the dataset: 13 meV/atom
energy: -21.97 eV per formula unit
spin magnetization: 0.0 μB per formula unit
calculated density: 7.69 g cm⁻³
calculated formation energy: 0.0578 eV/atom

Cell lengths 6.346, 6.346, 6.346 Å; angles 131.58, 131.58, 70.89 degrees
Fractional positions:
La 0.000 0.000 0.000
La 0.250 0.750 0.500
La 0.750 0.250 0.500
Th 0.500 0.500 0.000